Entry 1:
An optimized crystal structure of Dy2CdGa2Ni5. Source: the Alexandria database, functional GGA-PBE.

- Total magnetization: 0.00 μB per atom
- Density: 8.94 g/cm³
- E_tot: -4.830 eV/atom

Cell lengths 9.532, 9.532, 3.559 Å; angles 90.00, 90.00, 90.00 degrees
Sites, in units of the cell vectors:
Dy: 0.180 0.320 0.000
Dy: 0.320 0.820 0.000
Dy: 0.680 0.180 0.000
Dy: 0.820 0.680 0.000
Cd: 0.000 0.000 0.000
Cd: 0.500 0.500 0.000
Ga: 0.117 0.617 0.000
Ga: 0.383 0.117 0.000
Ga: 0.617 0.883 0.000
Ga: 0.883 0.383 0.000
Ni: 0.000 0.500 0.500
Ni: 0.062 0.782 0.500
Ni: 0.218 0.062 0.500
Ni: 0.282 0.562 0.500
Ni: 0.438 0.282 0.500
Ni: 0.500 0.000 0.500
Ni: 0.562 0.718 0.500
Ni: 0.718 0.438 0.500
Ni: 0.782 0.938 0.500
Ni: 0.938 0.218 0.500


Entry 2:
An optimized crystal structure of Nb2Ga2Pb. Source: the Alexandria database, functional GGA-PBE.

- Total magnetization: 0.00 μB per atom
- ΔE to the lowest computed polymorph: 138 meV/atom
- Density: 9.38 g/cm³

Cell lengths 7.222, 7.222, 3.615 Å; angles 90.00, 90.00, 90.00 degrees
Sites, in units of the cell vectors:
Nb: 0.174 0.326 0.000
Nb: 0.326 0.826 0.000
Nb: 0.674 0.174 0.000
Nb: 0.826 0.674 0.000
Ga: 0.122 0.622 0.500
Ga: 0.378 0.122 0.500
Ga: 0.622 0.878 0.500
Ga: 0.878 0.378 0.500
Pb: 0.000 0.000 0.500
Pb: 0.500 0.500 0.500


Entry 3:
An optimized crystal structure of HfScCoAg. Source: the Alexandria database, functional GGA-PBE.

- Total magnetization: 0.08 μB per atom
- Density: 9.12 g/cm³
- E_tot: -6.713 eV/atom

Cell lengths 4.648, 4.648, 4.648 Å; angles 60.00, 60.00, 60.00 degrees
Sites, in units of the cell vectors:
Hf: 0.000 0.000 0.000
Sc: 0.500 0.500 0.500
Co: 0.250 0.250 0.250
Ag: 0.750 0.750 0.750


Entry 4:
An optimized crystal structure of LiOs2Ru2. Source: the Alexandria database, functional GGA-PBE.

- Total magnetization: 0.00 μB per atom
- ΔE to the lowest computed polymorph: 0 meV/atom
- Density: 12.64 g/cm³

Cell lengths 7.564, 7.564, 2.707 Å; angles 90.00, 90.00, 90.00 degrees
Sites, in units of the cell vectors:
Li: 0.000 0.000 0.000
Li: 0.500 0.500 0.000
Os: 0.123 0.377 0.000
Os: 0.377 0.877 0.000
Os: 0.623 0.123 0.000
Os: 0.877 0.623 0.000
Ru: 0.169 0.669 0.500
Ru: 0.331 0.169 0.500
Ru: 0.669 0.831 0.500
Ru: 0.831 0.331 0.500


Entry 5:
An optimized crystal structure of SmSc2Ir9. Source: the Alexandria database, functional GGA-PBE.

- Total magnetization: 0.00 μB per atom
- Density: 15.76 g/cm³
- E_tot: -8.630 eV/atom

Cell lengths 9.161, 9.161, 9.161 Å; angles 33.41, 33.41, 33.41 degrees
Sites, in units of the cell vectors:
Sm: 0.000 0.000 0.000
Sc: 0.140 0.140 0.140
Sc: 0.860 0.860 0.860
Ir: 0.081 0.586 0.586
Ir: 0.334 0.334 0.334
Ir: 0.414 0.414 0.919
Ir: 0.414 0.919 0.414
Ir: 0.500 0.500 0.500
Ir: 0.586 0.081 0.586
Ir: 0.586 0.586 0.081
Ir: 0.666 0.666 0.666
Ir: 0.919 0.414 0.414


Entry 6:
An optimized crystal structure of NaGaSb2. Source: the Alexandria database, functional GGA-PBE.

- Total magnetization: 0.00 μB per atom
- Density: 4.81 g/cm³
- ΔE_f (raw): -0.169 eV/atom

Cell lengths 23.077, 4.386, 4.587 Å; angles 90.00, 90.00, 90.00 degrees
Sites, in units of the cell vectors:
Na: 0.109 0.250 0.202
Na: 0.391 0.750 0.702
Na: 0.609 0.250 0.298
Na: 0.891 0.750 0.798
Ga: 0.248 0.750 0.216
Ga: 0.252 0.250 0.716
Ga: 0.748 0.750 0.284
Ga: 0.752 0.250 0.784
Sb: 0.003 0.250 0.707
Sb: 0.176 0.750 0.716
Sb: 0.324 0.250 0.216
Sb: 0.497 0.750 0.207
Sb: 0.503 0.250 0.793
Sb: 0.676 0.750 0.784
Sb: 0.824 0.250 0.284
Sb: 0.997 0.750 0.293


Entry 7:
An optimized crystal structure of ScNi2Br. Source: the Alexandria database, functional GGA-PBE.

- Total magnetization: 0.00 μB per atom
- ΔE to the lowest computed polymorph: 719 meV/atom
- Density: 4.76 g/cm³
- ΔE_f (raw): 0.336 eV/atom

Cell lengths 6.312, 6.312, 6.312 Å; angles 123.04, 123.04, 84.81 degrees
Sites, in units of the cell vectors:
Sc: 0.000 0.000 0.000
Sc: 0.750 0.250 0.500
Ni: 0.149 0.625 0.024
Ni: 0.375 0.399 0.524
Ni: 0.601 0.125 0.976
Ni: 0.875 0.851 0.476
Br: 0.250 0.750 0.500
Br: 0.500 0.500 0.000


Entry 8:
An optimized crystal structure of Li3CuAsCO7. Source: the Alexandria database, functional GGA-PBE.

- Total magnetization: 0.08 μB per atom
- Density: 3.30 g/cm³
- ΔE_f (raw): -1.530 eV/atom

Cell lengths 5.284, 6.330, 8.729 Å; angles 90.00, 102.62, 90.00 degrees
Sites, in units of the cell vectors:
Li: 0.146 0.250 0.079
Li: 0.233 0.501 0.727
Li: 0.233 0.999 0.727
Li: 0.767 0.001 0.273
Li: 0.767 0.499 0.273
Li: 0.854 0.750 0.921
Cu: 0.249 0.750 0.307
Cu: 0.751 0.250 0.693
As: 0.297 0.250 0.413
As: 0.703 0.750 0.587
C: 0.415 0.750 0.010
C: 0.585 0.250 0.990
O: 0.165 0.047 0.284
O: 0.165 0.453 0.284
O: 0.205 0.250 0.587
O: 0.208 0.750 0.071
O: 0.353 0.250 0.903
O: 0.367 0.750 0.545
O: 0.381 0.750 0.859
O: 0.619 0.250 0.141
O: 0.633 0.250 0.455
O: 0.647 0.750 0.097
O: 0.792 0.250 0.929
O: 0.795 0.750 0.413
O: 0.835 0.547 0.716
O: 0.835 0.953 0.716